Crystalline TiCoO3 at its relaxed geometry. Source: Alexandria, functional PBE+U.

```
10
Lattice="5.9454 -0.2415 0.0311 -2.6760 -4.7501 0.0210 -0.4969 0.2564 -5.8674" Properties=species:S:1:pos:R:3 pbc="T T T"
Ti 1.8621 -1.0687 -2.3318
Ti 0.9105 -3.6665 -3.4835
Co 0.3881 -0.2415 -4.8403
Co 2.3844 -4.4937 -0.9750
O 0.8498 -0.4845 -0.9430
O 3.6008 -0.3948 -2.1191
O 0.6052 -1.8277 -3.7222
O 1.9227 -4.2507 -4.8724
O -0.8283 -4.3404 -3.6963
O 2.1673 -2.9076 -2.0932
```

## Properties
VASP energy in eV per atom: -7.775
Magnetic moment in μB/atom: 0.600